A plane-wave DFT calculation with PBE was carried out for an optimized crystal structure of Ca2In7Sn2.

```
Ca2In7Sn2
1.0
4.473 -5.083 0.000
4.473 5.083 0.000
-2.211 0.000 6.788
Ca In Sn
2 7 2
direct
0.231 0.231 0.001 Ca
0.769 0.769 0.999 Ca
0.000 0.000 0.500 In
0.087 0.569 0.334 In
0.401 0.401 0.647 In
0.431 0.913 0.666 In
0.569 0.087 0.334 In
0.599 0.599 0.353 In
0.913 0.431 0.666 In
0.259 0.741 0.000 Sn
0.741 0.259 0.000 Sn
```

Properties
**D(E_F)**: 5.12 states/eV/f.u.
**DFT formation energy**: -2.0 eV/f.u.
**Calculated total energy**: -33.22 eV for the cell shown